Crystalline TlBi3Ir at its relaxed geometry, computed with PBE.

Values from the calculation:
SG ... Pm-3m
Excess energy over the best structure of this formula in the dataset ... 37.9 kJ per mole of atoms
Energy relative to the elements ... 418 meV per atom

Cell lengths 5.469, 5.469, 5.469 Å; angles 90.00, 90.00, 90.00 degrees
Sites, in units of the cell vectors:
Bi: 0.000 0.500 0.000
Bi: 0.500 0.000 0.000
Bi: 0.000 0.000 0.500
Ir: 0.000 0.000 0.000
Tl: 0.500 0.500 0.500

---

Crystalline TlVBiIr2 at its relaxed geometry, computed with PBE.

Values from the calculation:
SG ... P4/mmm
Energy relative to the elements ... 930 meV per atom

Cell lengths 4.667, 5.255, 4.667 Å; angles 90.00, 90.00, 90.00 degrees
Sites, in units of the cell vectors:
Ir: 0.500 0.000 0.000
Ir: 0.000 0.000 0.500
Bi: 0.000 0.500 0.000
V: 0.000 0.000 0.000
Tl: 0.500 0.500 0.500

---

Crystalline Tm3Bi2Ir at its relaxed geometry, computed with PBE.

Values from the calculation:
SG ... Cmmm
Energy relative to the elements ... -518 meV per atom

Cell lengths 3.684, 6.037, 8.505 Å; angles 110.79, 90.00, 90.00 degrees
Sites, in units of the cell vectors:
Tm: 0.500 0.879 0.757
Tm: 0.500 0.121 0.243
Tm: 0.000 0.500 0.000
Bi: 0.500 0.671 0.343
Bi: 0.500 0.329 0.657
Ir: 0.000 0.000 0.000

---

Crystalline Tm6BiIr at its relaxed geometry, computed with PBE.

Values from the calculation:
SG ... R-3
Energy relative to the elements ... -261 meV per atom

Cell lengths 6.778, 6.781, 7.605 Å; angles 63.53, 63.57, 60.02 degrees
Sites, in units of the cell vectors:
Tm: 0.419 0.777 0.767
Tm: 0.223 0.963 0.233
Tm: 0.581 0.223 0.233
Tm: 0.963 0.581 0.233
Tm: 0.037 0.419 0.767
Tm: 0.777 0.037 0.767
Ir: 0.000 0.000 0.000
Bi: 0.500 0.500 0.500